# 1
The following is a PBE-GGA calculation of TbZn4Ga after structural relaxation, from the Alexandria database.

Cell: 7.6025 7.6025 7.6025 Å, 90.00 90.00 90.00°
Space group F-43m (No. 216)
Asymmetric unit:
Tb (0.0000, 0.0000, 0.0000) x4
Zn (0.1251, 0.1251, 0.3749) x16
Ga (0.2500, 0.2500, 0.7500) x4

Results
- electronic total energy (eV per atom) = -2.2735
- crystal system = cubic
- energy of formation (eV/atom) = -0.148

***

# 2
The following is a PBE-GGA calculation of KSeNF2 after structural relaxation, from the Alexandria database.

Cell: 4.6673 4.6673 3.6779 Å, 90.00 90.00 90.00°
Space group P4/mmm (No. 123)
Asymmetric unit:
K (0.0000, 0.0000, 0.0000) x1
Se (0.5000, 0.5000, 0.5000) x1
N (0.5000, 0.5000, 0.0000) x1
F (0.0000, 0.5000, 0.5000) x2

Results
- E above lowest polymorph (meV per atom) = 0.0
- energy relative to the elements, uncorrected (meV per atom) = -874
- electronic total energy (eV per atom) = -4.2044
- crystal system = tetragonal

***

# 3
The following is a PBE-GGA calculation of SmPuI6 after structural relaxation, from the Alexandria database.

Cell: 7.7257 7.7257 21.3406 Å, 90.00 90.00 120.00°
Space group R-3 (No. 148, hexagonal axes)
Asymmetric unit:
Sm (0.0000, 0.0000, 0.0000) x3
Pu (0.0000, 0.0000, 0.5000) x3
I (0.0014, 0.3415, 0.2509) x18

Results
- energy relative to the elements, uncorrected (meV per atom) = -1172
- electronic total energy (eV per atom) = -4.7159
- crystal system = trigonal

***

# 4
The following is a PBE-GGA calculation of Pm2GdAu after structural relaxation, from the Alexandria database.

Cell: 5.4626 5.4626 3.7441 Å, 90.00 90.00 90.00°
Space group P4/mmm (No. 123)
Asymmetric unit:
Pm (0.0000, 0.5000, 0.0000) x2
Gd (0.0000, 0.0000, 0.5000) x1
Au (0.5000, 0.5000, 0.5000) x1

Results
- E above lowest polymorph (meV per atom) = 115.2
- electronic total energy (eV per atom) = -6.9572
- crystal system = tetragonal
- energy of formation (eV/atom) = -0.242

***

# 5
The following is a PBE-GGA calculation of Cu3RuC after structural relaxation, from the Alexandria database.

Cell: 3.8791 3.8791 3.8791 Å, 90.00 90.00 90.00°
Space group Pm-3m (No. 221)
Asymmetric unit:
Cu (0.0000, 0.0000, 0.5000) x3
Ru (0.5000, 0.5000, 0.5000) x1
C (0.0000, 0.0000, 0.0000) x1

Results
- E above lowest polymorph (meV per atom) = 0.0
- electronic total energy (eV per atom) = -5.4578
- crystal system = cubic
- energy of formation (eV/atom) = 0.700

***

# 6
The following is a PBE-GGA calculation of TbYPb after structural relaxation, from the Alexandria database.

Cell: 4.0197 4.0197 10.9878 Å, 90.00 90.00 90.00°
Space group I4mm (No. 107)
Asymmetric unit:
Tb (0.0000, 0.0000, 0.0000) x2
Y (0.0000, 0.0000, 0.3142) x2
Pb (0.0000, 0.0000, 0.6578) x2

Results
- electronic total energy (eV per atom) = -5.2283
- crystal system = tetragonal
- energy of formation (eV/atom) = -0.294

***

# 7
The following is a PBE-GGA calculation of EuICl after structural relaxation, from the Alexandria database.

Cell: 4.5397 4.5397 6.8985 Å, 90.00 90.00 120.00°
Space group P3m1 (No. 156)
Asymmetric unit:
Eu (0.0000, 0.0000, 0.0000) x1
I (0.3333, 0.6667, 0.7180) x1
Cl (0.6667, 0.3333, 0.1822) x1

Results
- E above lowest polymorph (meV per atom) = 5.7
- energy relative to the elements, uncorrected (meV per atom) = -1973
- electronic total energy (eV per atom) = -6.5299
- crystal system = trigonal

***

# 8
The following is a PBE-GGA calculation of Tb2MnB2Ru5 after structural relaxation, from the Alexandria database.

Cell: 9.5711 9.5711 3.1029 Å, 90.00 90.00 90.00°
Space group P4/mbm (No. 127)
Asymmetric unit:
Tb (0.1759, 0.3241, 0.0000) x4
Mn (0.0000, 0.0000, 0.0000) x2
B (0.1227, 0.6227, 0.0000) x4
Ru (0.0000, 0.5000, 0.5000) x2
Ru (0.0697, 0.7843, 0.5000) x8

Results
- electronic total energy (eV per atom) = -8.1645
- crystal system = tetragonal
- energy of formation (eV/atom) = -0.348